Record 1
Entry from Alexandria via LeMat-Bulk: a relaxed structure of RbBa2I5 (GGA-PBE).

```
data_RbBa2I5
_cell_length_a 5.224
_cell_length_b 8.673
_cell_length_c 10.352
_cell_angle_alpha 114.77
_cell_angle_beta 104.62
_cell_angle_gamma 90.00
_symmetry_space_group_name_H-M 'P 1'
_symmetry_Int_Tables_number 1
_symmetry_space_group_name_Hall 'P 1'
loop_
_atom_site_label
_atom_site_fract_x
_atom_site_fract_y
_atom_site_fract_z
Ba1 0.813 0.313 0.625
Ba2 0.187 0.687 0.375
I1 0.349 0.615 0.698
I2 0.000 0.500 0.000
I3 0.651 0.917 0.302
I4 0.651 0.385 0.302
I5 0.349 0.083 0.698
Rb1 0.000 0.000 0.000
```

Calculated values
Fermi-level density of states ... 0.00 states/eV/f.u.
Formation energy from raw total energies ... -1.681 eV/atom
Total energy ... -3.25 eV per atom

Record 2
Entry from Alexandria via LeMat-Bulk: a relaxed structure of Rb2BaI (GGA-PBE).

```
data_Rb2BaI
_cell_length_a 4.746
_cell_length_b 4.746
_cell_length_c 13.983
_cell_angle_alpha 80.23
_cell_angle_beta 80.23
_cell_angle_gamma 60.00
_symmetry_space_group_name_H-M 'P 1'
_symmetry_Int_Tables_number 1
_symmetry_space_group_name_Hall 'P 1'
loop_
_atom_site_label
_atom_site_fract_x
_atom_site_fract_y
_atom_site_fract_z
Rb1 0.892 0.892 0.324
Rb2 0.108 0.108 0.676
I1 0.500 0.500 0.500
Ba1 0.000 0.000 0.000
```

Calculated values
Fermi-level density of states ... 3.50 states/eV/f.u.
Formation energy from raw total energies ... -0.570 eV/atom
Total energy ... -1.92 eV per atom

Record 3
Entry from Alexandria via LeMat-Bulk: a relaxed structure of Rb2BaI2 (GGA-PBE).

```
data_Rb2BaI2
_cell_length_a 9.722
_cell_length_b 9.722
_cell_length_c 5.491
_cell_angle_alpha 90.00
_cell_angle_beta 90.00
_cell_angle_gamma 90.00
_symmetry_space_group_name_H-M 'P 1'
_symmetry_Int_Tables_number 1
_symmetry_space_group_name_Hall 'P 1'
loop_
_atom_site_label
_atom_site_fract_x
_atom_site_fract_y
_atom_site_fract_z
I1 0.658 0.158 0.000
I2 0.342 0.842 0.000
I3 0.842 0.658 0.000
I4 0.158 0.342 0.000
Rb1 0.155 0.655 0.500
Rb2 0.345 0.155 0.500
Rb3 0.845 0.345 0.500
Rb4 0.655 0.845 0.500
Ba1 0.000 0.000 0.000
Ba2 0.500 0.500 0.000
```

Calculated values
Fermi-level density of states ... 0.09 states/eV/f.u.
Formation energy from raw total energies ... -1.007 eV/atom
Total energy ... -2.40 eV per atom

Record 4
Entry from Alexandria via LeMat-Bulk: a relaxed structure of RbBaI (GGA-PBE).

```
data_RbBaI
_cell_length_a 4.731
_cell_length_b 4.731
_cell_length_c 9.035
_cell_angle_alpha 90.00
_cell_angle_beta 90.00
_cell_angle_gamma 120.00
_symmetry_space_group_name_H-M 'P 1'
_symmetry_Int_Tables_number 1
_symmetry_space_group_name_Hall 'P 1'
loop_
_atom_site_label
_atom_site_fract_x
_atom_site_fract_y
_atom_site_fract_z
I1 0.333 0.667 0.660
Ba1 0.667 0.333 0.391
Rb1 0.000 0.000 0.949
```

Calculated values
Fermi-level density of states ... 2.22 states/eV/f.u.
Formation energy from raw total energies ... -0.837 eV/atom
Total energy ... -2.32 eV per atom

Record 5
Entry from Alexandria via LeMat-Bulk: a relaxed structure of Rb3BaI6 (GGA-PBE).

```
data_Rb3BaI6
_cell_length_a 9.685
_cell_length_b 9.685
_cell_length_c 9.686
_cell_angle_alpha 60.00
_cell_angle_beta 60.00
_cell_angle_gamma 90.00
_symmetry_space_group_name_H-M 'P 1'
_symmetry_Int_Tables_number 1
_symmetry_space_group_name_Hall 'P 1'
loop_
_atom_site_label
_atom_site_fract_x
_atom_site_fract_y
_atom_site_fract_z
I1 0.246 0.246 0.507
I2 0.246 0.246 0.000
I3 0.754 0.754 0.492
I4 0.754 0.754 0.000
I5 0.754 0.246 0.000
I6 0.246 0.754 0.000
Rb1 0.250 0.750 0.500
Rb2 0.500 0.500 0.000
Rb3 0.750 0.250 0.500
Ba1 0.000 0.000 0.000
```

Calculated values
Fermi-level density of states ... 25.42 states/eV/f.u.
Formation energy from raw total energies ... -1.218 eV/atom
Total energy ... -2.63 eV per atom

Record 6
Entry from Alexandria via LeMat-Bulk: a relaxed structure of Rb2BaI (GGA-PBE).

```
data_Rb2BaI
_cell_length_a 12.591
_cell_length_b 12.591
_cell_length_c 9.596
_cell_angle_alpha 49.00
_cell_angle_beta 49.00
_cell_angle_gamma 90.00
_symmetry_space_group_name_H-M 'P 1'
_symmetry_Int_Tables_number 1
_symmetry_space_group_name_Hall 'P 1'
loop_
_atom_site_label
_atom_site_fract_x
_atom_site_fract_y
_atom_site_fract_z
Ba1 0.750 0.250 0.500
Ba2 0.000 0.000 0.000
Rb1 0.875 0.780 0.750
Rb2 0.220 0.625 0.250
Rb3 0.530 0.125 0.250
Rb4 0.375 0.470 0.750
I1 0.500 0.500 0.000
I2 0.250 0.750 0.500
```

Calculated values
Fermi-level density of states ... 3.69 states/eV/f.u.
Formation energy from raw total energies ... -0.481 eV/atom
Total energy ... -1.83 eV per atom

Record 7
Entry from Alexandria via LeMat-Bulk: a relaxed structure of Rb3Ba5I12 (GGA-PBE).

```
data_Rb3Ba5I12
_cell_length_a 18.453
_cell_length_b 18.453
_cell_length_c 18.453
_cell_angle_alpha 109.47
_cell_angle_beta 109.47
_cell_angle_gamma 109.47
_symmetry_space_group_name_H-M 'P 1'
_symmetry_Int_Tables_number 1
_symmetry_space_group_name_Hall 'P 1'
loop_
_atom_site_label
_atom_site_fract_x
_atom_site_fract_y
_atom_site_fract_z
I1 0.828 0.914 0.286
I2 0.542 0.328 0.913
I3 0.086 0.172 0.214
I4 0.328 0.786 0.414
I5 0.172 0.086 0.714
I6 0.542 0.214 0.128
I7 0.214 0.542 0.628
I8 0.586 0.872 0.413
I9 0.414 0.286 0.328
I10 0.372 0.413 0.086
I11 0.958 0.372 0.286
I12 0.372 0.958 0.786
I13 0.286 0.872 0.958
I14 0.714 0.586 0.172
I15 0.172 0.087 0.958
I16 0.128 0.414 0.087
I17 0.286 0.414 0.828
I18 0.786 0.458 0.372
I19 0.786 0.328 0.914
I20 0.587 0.628 0.414
I21 0.458 0.786 0.872
I22 0.672 0.214 0.586
I23 0.586 0.714 0.672
I24 0.672 0.458 0.587
I25 0.914 0.087 0.628
I26 0.914 0.828 0.786
I27 0.328 0.542 0.413
I28 0.913 0.828 0.542
I29 0.413 0.042 0.328
I30 0.628 0.042 0.214
I31 0.042 0.628 0.714
I32 0.714 0.128 0.042
I33 0.587 0.958 0.672
I34 0.913 0.086 0.872
I35 0.413 0.372 0.586
I36 0.414 0.128 0.587
I37 0.958 0.587 0.172
I38 0.628 0.587 0.914
I39 0.458 0.672 0.087
I40 0.087 0.914 0.128
I41 0.128 0.714 0.542
I42 0.086 0.913 0.372
I43 0.828 0.913 0.042
I44 0.042 0.413 0.828
I45 0.214 0.672 0.086
I46 0.872 0.586 0.913
I47 0.872 0.286 0.458
I48 0.087 0.172 0.458
Ba1 0.250 0.375 0.625
Ba2 0.000 0.000 0.500
Ba3 0.125 0.375 0.250
Ba4 0.750 0.125 0.875
Ba5 0.625 0.750 0.875
Ba6 0.500 0.000 0.500
Ba7 0.875 0.625 0.750
Ba8 0.375 0.250 0.125
Ba9 0.500 0.500 0.500
Ba10 0.750 0.625 0.375
Ba11 0.875 0.250 0.625
Ba12 0.000 0.500 0.000
Ba13 0.500 0.500 0.000
Ba14 0.000 0.500 0.500
Ba15 0.500 0.000 0.000
Ba16 0.625 0.875 0.250
Ba17 0.250 0.875 0.125
Ba18 0.125 0.750 0.375
Ba19 0.375 0.125 0.750
Ba20 0.000 0.000 0.000
Rb1 0.375 0.750 0.625
Rb2 0.750 0.375 0.125
Rb3 0.750 0.875 0.625
Rb4 0.625 0.375 0.750
Rb5 0.875 0.750 0.125
Rb6 0.125 0.250 0.875
Rb7 0.250 0.125 0.375
Rb8 0.125 0.875 0.750
Rb9 0.875 0.125 0.250
Rb10 0.625 0.250 0.375
Rb11 0.375 0.625 0.250
Rb12 0.250 0.625 0.875
```

Calculated values
Fermi-level density of states ... 6.00 states/eV/f.u.
Formation energy from raw total energies ... -1.549 eV/atom
Total energy ... -3.10 eV per atom

Record 8
Entry from Alexandria via LeMat-Bulk: a relaxed structure of RbBaI (GGA-PBE).

```
data_RbBaI
_cell_length_a 4.743
_cell_length_b 4.743
_cell_length_c 20.161
_cell_angle_alpha 66.15
_cell_angle_beta 66.15
_cell_angle_gamma 60.57
_symmetry_space_group_name_H-M 'P 1'
_symmetry_Int_Tables_number 1
_symmetry_space_group_name_Hall 'P 1'
loop_
_atom_site_label
_atom_site_fract_x
_atom_site_fract_y
_atom_site_fract_z
Rb1 0.485 0.485 0.272
Rb2 0.269 0.269 0.036
Ba1 0.160 0.160 0.554
Ba2 0.593 0.593 0.754
I1 0.099 0.099 0.891
I2 0.654 0.654 0.416
```

Calculated values
Fermi-level density of states ... 1.98 states/eV/f.u.
Formation energy from raw total energies ... -0.874 eV/atom
Total energy ... -2.35 eV per atom

Record 9
Entry from Alexandria via LeMat-Bulk: a relaxed structure of Rb2BaRuI6 (GGA-PBE).

```
data_Rb2BaRuI6
_cell_length_a 8.581
_cell_length_b 8.581
_cell_length_c 8.581
_cell_angle_alpha 60.00
_cell_angle_beta 60.00
_cell_angle_gamma 90.00
_symmetry_space_group_name_H-M 'P 1'
_symmetry_Int_Tables_number 1
_symmetry_space_group_name_Hall 'P 1'
loop_
_atom_site_label
_atom_site_fract_x
_atom_site_fract_y
_atom_site_fract_z
Ru1 0.500 0.500 0.000
I1 0.724 0.724 0.000
I2 0.276 0.276 0.449
I3 0.724 0.276 0.000
I4 0.724 0.724 0.551
I5 0.276 0.724 0.000
I6 0.276 0.276 0.000
Ba1 0.000 0.000 0.000
Rb1 0.250 0.750 0.500
Rb2 0.750 0.250 0.500
```

Calculated values
Fermi-level density of states ... 0.00 states/eV/f.u.
Formation energy from raw total energies ... -0.984 eV/atom
Total energy ... -3.23 eV per atom